The following is a PBE calculation of a relaxed structure of K2CdPO4, from the Alexandria database.

The structure in POSCAR format:
```
K2CdPO4
1.0
-4.137 -1.766 -3.541
-0.019 -2.625 5.087
-0.497 5.471 1.609
O K Cd P
4 2 1 1
Cartesian
-0.377 2.245 2.012
-3.183 0.211 0.643
-1.597 1.570 4.161
-4.149 -1.864 -0.505
0.000 0.000 0.000
-2.207 -1.484 2.447
-2.446 2.564 0.708
-0.258 1.423 3.348
```

- Uncorrected energy: -5.32 eV per atom
- Symmetry: I-4 (82)
- Energy relative to the elements, uncorrected: -1.775 eV per atom